# ZnPRhSe (PBE-GGA, optimized geometry)
data_ZnPRhSe
_symmetry_space_group_name_H-M 'P 1'
_symmetry_Int_Tables_number 1
_cell_length_a 3.576
_cell_length_b 3.576
_cell_length_c 6.689
_cell_angle_alpha 90.00
_cell_angle_beta 90.00
_cell_angle_gamma 120.00
loop_
_symmetry_equiv_pos_as_xyz
'x,y,z'
loop_
_atom_site_label
_atom_site_fract_x
_atom_site_fract_y
_atom_site_fract_z
_atom_site_occupancy
Zn1 0.667 0.333 0.277 1
P1 0.667 0.333 0.931 1
Rh1 0.000 0.000 0.766 1
Se1 0.333 0.667 0.486 1
# - Formation energy without anion corrections: -132 kJ/mol of formula units
# - Size of the total moment: 0.00 μB/f.u.



# Sr2MnIr (PBE-GGA, optimized geometry)
data_Sr2MnIr
_symmetry_space_group_name_H-M 'P 1'
_symmetry_Int_Tables_number 1
_cell_length_a 5.119
_cell_length_b 5.119
_cell_length_c 5.119
_cell_angle_alpha 119.62
_cell_angle_beta 119.62
_cell_angle_gamma 90.65
loop_
_symmetry_equiv_pos_as_xyz
'x,y,z'
loop_
_atom_site_label
_atom_site_fract_x
_atom_site_fract_y
_atom_site_fract_z
_atom_site_occupancy
Ir1 0.500 0.500 0.000 1
Mn1 0.750 0.250 0.500 1
Sr1 0.000 0.000 0.000 1
Sr2 0.250 0.750 0.500 1
# - DFT formation energy: 415 meV/atom
# - Size of the total moment: 4.19 μB/f.u.



# La2Pm2Rh (PBE-GGA, optimized geometry)
data_La2Pm2Rh
_symmetry_space_group_name_H-M 'P 1'
_symmetry_Int_Tables_number 1
_cell_length_a 7.534
_cell_length_b 7.194
_cell_length_c 8.321
_cell_angle_alpha 73.48
_cell_angle_beta 57.10
_cell_angle_gamma 58.42
loop_
_symmetry_equiv_pos_as_xyz
'x,y,z'
loop_
_atom_site_label
_atom_site_fract_x
_atom_site_fract_y
_atom_site_fract_z
_atom_site_occupancy
La1 0.811 0.000 0.417 1
La2 0.647 0.000 0.097 1
La3 0.353 0.000 0.903 1
La4 0.189 0.000 0.583 1
Pm1 0.579 0.451 0.754 1
Pm2 0.421 0.549 0.246 1
Pm3 0.030 0.549 0.754 1
Pm4 0.970 0.451 0.246 1
Rh1 0.126 0.748 0.000 1
Rh2 0.874 0.252 0.000 1
# - DFT formation energy: -274 meV/atom
# - Size of the total moment: 0.00 μB/f.u.



# Pu2InRh (PBE-GGA, optimized geometry)
data_Pu2InRh
_symmetry_space_group_name_H-M 'P 1'
_symmetry_Int_Tables_number 1
_cell_length_a 3.373
_cell_length_b 3.373
_cell_length_c 10.784
_cell_angle_alpha 81.00
_cell_angle_beta 81.00
_cell_angle_gamma 60.00
loop_
_symmetry_equiv_pos_as_xyz
'x,y,z'
loop_
_atom_site_label
_atom_site_fract_x
_atom_site_fract_y
_atom_site_fract_z
_atom_site_occupancy
In1 0.000 0.000 0.000 1
Rh1 0.500 0.500 0.500 1
Pu1 0.102 0.102 0.693 1
Pu2 0.898 0.898 0.307 1
# - DFT formation energy: 69 meV/atom
# - Size of the total moment: 11.72 μB/f.u.



# V12Fe6N (PBE-GGA, optimized geometry)
data_V12Fe6N
_symmetry_space_group_name_H-M 'P 1'
_symmetry_Int_Tables_number 1
_cell_length_a 6.424
_cell_length_b 6.424
_cell_length_c 6.424
_cell_angle_alpha 102.31
_cell_angle_beta 102.31
_cell_angle_gamma 102.31
loop_
_symmetry_equiv_pos_as_xyz
'x,y,z'
loop_
_atom_site_label
_atom_site_fract_x
_atom_site_fract_y
_atom_site_fract_z
_atom_site_occupancy
V1 0.820 0.584 0.492 1
V2 0.492 0.820 0.584 1
V3 0.584 0.492 0.820 1
V4 0.180 0.416 0.508 1
V5 0.508 0.180 0.416 1
V6 0.416 0.508 0.180 1
V7 0.040 0.034 0.317 1
V8 0.966 0.683 0.960 1
V9 0.683 0.960 0.966 1
V10 0.960 0.966 0.683 1
V11 0.034 0.317 0.040 1
V12 0.317 0.040 0.034 1
Fe1 0.636 0.875 0.290 1
Fe2 0.710 0.364 0.125 1
Fe3 0.125 0.710 0.364 1
Fe4 0.364 0.125 0.710 1
Fe5 0.290 0.636 0.875 1
Fe6 0.875 0.290 0.636 1
N1 0.000 0.000 0.000 1
# - Formation energy without anion corrections: 278 kJ/mol of formula units
# - Size of the total moment: 0.03 μB/f.u.



# Cs3TbTh3Se8 (PBE-GGA, optimized geometry)
data_Cs3TbTh3Se8
_symmetry_space_group_name_H-M 'P 1'
_symmetry_Int_Tables_number 1
_cell_length_a 8.529
_cell_length_b 8.528
_cell_length_c 9.931
_cell_angle_alpha 115.45
_cell_angle_beta 90.00
_cell_angle_gamma 120.00
loop_
_symmetry_equiv_pos_as_xyz
'x,y,z'
loop_
_atom_site_label
_atom_site_fract_x
_atom_site_fract_y
_atom_site_fract_z
_atom_site_occupancy
Cs1 0.000 0.000 0.000 1
Cs2 0.000 0.500 0.000 1
Cs3 0.500 0.500 0.000 1
Tb1 0.000 0.000 0.500 1
Th1 0.500 0.000 0.500 1
Th2 0.500 0.500 0.500 1
Th3 0.000 0.500 0.500 1
Se1 0.268 0.536 0.304 1
Se2 0.732 0.464 0.696 1
Se3 0.772 0.544 0.312 1
Se4 0.228 0.456 0.688 1
Se5 0.772 0.040 0.312 1
Se6 0.228 0.960 0.688 1
Se7 0.268 0.040 0.312 1
Se8 0.732 0.960 0.688 1
# - Formation energy without anion corrections: -2368 kJ/mol of formula units
# - Size of the total moment: 0.00 μB/f.u.



# YAlPt4 (PBE-GGA, optimized geometry)
data_YAlPt4
_symmetry_space_group_name_H-M 'P 1'
_symmetry_Int_Tables_number 1
_cell_length_a 5.353
_cell_length_b 5.353
_cell_length_c 5.353
_cell_angle_alpha 60.00
_cell_angle_beta 60.00
_cell_angle_gamma 60.00
loop_
_symmetry_equiv_pos_as_xyz
'x,y,z'
loop_
_atom_site_label
_atom_site_fract_x
_atom_site_fract_y
_atom_site_fract_z
_atom_site_occupancy
Y1 0.750 0.750 0.750 1
Al1 0.000 0.000 0.000 1
Pt1 0.877 0.374 0.374 1
Pt2 0.374 0.374 0.877 1
Pt3 0.374 0.877 0.374 1
Pt4 0.374 0.374 0.374 1
# - DFT formation energy: -784 meV/atom
# - Size of the total moment: 0.00 μB/f.u.



# BeNb2Pt (PBE-GGA, optimized geometry)
data_BeNb2Pt
_symmetry_space_group_name_H-M 'P 1'
_symmetry_Int_Tables_number 1
_cell_length_a 3.741
_cell_length_b 3.741
_cell_length_c 9.872
_cell_angle_alpha 79.08
_cell_angle_beta 79.08
_cell_angle_gamma 90.00
loop_
_symmetry_equiv_pos_as_xyz
'x,y,z'
loop_
_atom_site_label
_atom_site_fract_x
_atom_site_fract_y
_atom_site_fract_z
_atom_site_occupancy
Be1 0.500 0.500 0.000 1
Be2 0.250 0.750 0.500 1
Nb1 0.612 0.125 0.250 1
Nb2 0.138 0.625 0.250 1
Nb3 0.375 0.388 0.750 1
Nb4 0.875 0.862 0.750 1
Pt1 0.000 0.000 0.000 1
Pt2 0.750 0.250 0.500 1
# - DFT formation energy: 282 meV/atom
# - Size of the total moment: 0.00 μB/f.u.